Computed, not measured: SrLa2Br after structural relaxation at the PBE level of DFT.

a = 7.370 Å, b = 4.612 Å, c = 4.612 Å
α = 90.00°, β = 90.00°, γ = 90.00°
Sites, in units of the cell vectors:
1 Br 0.500 0.000 0.500
2 La 0.000 0.000 0.000
3 La 0.000 0.500 0.500
4 Sr 0.500 0.500 0.000

V = 39.19 Å³ per atom
Uncorrected formation energy = -0.26 eV per atom
D(E_F) = 5.7 states/eV/f.u.
VASP energy = -3.5595 eV/atom